No. 1
NbReN2 | GGA-PBE | relaxed

- E_tot (eV/cell) = -37.335
- V (A^3/atom) = 10.4
- SG = Fm-3m
- energy relative to the elements, uncorrected (eV/atom) = 0.458

abc: 3.888 3.888 3.888
angles: 60.00 60.00 60.00
Fractional positions:
1 N 0.750 0.750 0.750
2 N 0.250 0.250 0.250
3 Nb 0.000 0.000 0.000
4 Re 0.500 0.500 0.500

---

No. 2
Nb3ReN | GGA-PBE | relaxed

- E_tot (eV/cell) = -40.114
- V (A^3/atom) = 22.6
- SG = Pm-3m
- energy relative to the elements, uncorrected (eV/atom) = 2.174

abc: 4.834 4.834 4.834
angles: 90.00 90.00 90.00
Fractional positions:
1 N 0.500 0.500 0.500
2 Nb 0.500 0.000 0.000
3 Nb 0.000 0.000 0.500
4 Nb 0.000 0.500 0.000
5 Re 0.000 0.000 0.000

---

No. 3
Nb3ReN | GGA-PBE | relaxed

- E_tot (eV/cell) = -52.579
- V (A^3/atom) = 15.3
- SG = Pm-3m
- energy relative to the elements, uncorrected (eV/atom) = -0.319

abc: 4.249 4.249 4.249
angles: 90.00 90.00 90.00
Fractional positions:
1 Nb 0.000 0.000 0.500
2 Nb 0.000 0.500 0.000
3 Nb 0.500 0.000 0.000
4 N 0.000 0.000 0.000
5 Re 0.500 0.500 0.500

---

no.,polymorph energy (0 for the lowest one) (meV per atom),mass density (g/cm³),M_tot (Bohr magnetons per cell)
1,575,12.3,1.4
2,2493,7.0,0.0
3,0,10.4,0.0